(1)
Material: LaPt2Au
Method: DFT, meta-GGA SCAN
State: PBEsol geometry

Lattice parameters (Å, degrees): 5.344 5.344 5.344 134.70 134.70 65.99
Atoms (fractional coordinates):
La 0.000 0.000 0.000
Pt 0.500 0.500 0.000
Pt 0.750 0.250 0.500
Au 0.250 0.750 0.500

(2)
Material: La2Pt2Au
Method: DFT, meta-GGA SCAN
State: PBEsol geometry

Lattice parameters (Å, degrees): 7.672 7.672 3.892 90.00 90.00 90.00
Atoms (fractional coordinates):
La 0.173 0.327 0.000
La 0.327 0.827 0.000
La 0.673 0.173 0.000
La 0.827 0.673 0.000
Pt 0.131 0.631 0.500
Pt 0.369 0.131 0.500
Pt 0.631 0.869 0.500
Pt 0.869 0.369 0.500
Au 0.000 0.000 0.500
Au 0.500 0.500 0.500

(3)
Material: LaPtAu
Method: DFT, meta-GGA SCAN
State: PBEsol geometry

Lattice parameters (Å, degrees): 4.632 4.632 3.622 90.00 90.00 120.00
Atoms (fractional coordinates):
La 0.000 0.000 0.000
Pt 0.667 0.333 0.500
Au 0.333 0.667 0.500

(4)
Material: LaPt2Au
Method: DFT, meta-GGA SCAN
State: PBEsol geometry

Lattice parameters (Å, degrees): 3.721 3.721 5.682 90.00 90.00 90.00
Atoms (fractional coordinates):
La 0.000 0.000 0.000
Pt 0.000 0.000 0.494
Pt 0.500 0.500 0.236
Au 0.500 0.500 0.707

| no. | Fermi-level density of states (states/eV/cell) | ΔH_f (0 K) (meV per atom) | theoretical density (g/cm³) |
| --- | --- | --- | --- |
| 1 | 0.7 | -784.9 | 15.88 |
| 2 | 6.0 | -1220.6 | 12.54 |
| 3 | 1.3 | -1056.7 | 13.10 |
| 4 | 2.0 | -610.0 | 15.32 |